# Sc5In2SnRu2 | Alexandria via LeMat-Bulk | PBE | relaxed
data_Sc5In2SnRu2
_space_group_name_H-M_alt 'P 4/m b m'
_space_group_IT_number 127
_space_group_name_Hall '-P 4 2ab'
_cell_length_a 11.402
_cell_length_b 11.402
_cell_length_c 3.341
_cell_angle_alpha 90.00
_cell_angle_beta 90.00
_cell_angle_gamma 90.00
loop_
_atom_site_label
_atom_site_type_symbol
_atom_site_fract_x
_atom_site_fract_y
_atom_site_fract_z
_atom_site_occupancy
Sc1 Sc 0.000 0.500 0.000 1
Sc2 Sc 0.075 0.207 0.000 1
In1 In 0.174 0.674 0.500 1
Sn1 Sn 0.000 0.000 0.500 1
Ru1 Ru 0.131 0.369 0.500 1
# final energy: -0.2360 hartree per atom
# calculated formation energy: -436 kJ/mol of formula units
# Fermi-level density of states: 5.248 states/eV/f.u.